Compound: HfThPd6
Source: Alexandria via LeMat-Bulk
Functional: PBE
Structure: relaxed

## Properties
The magnetic moment is 0.00 μB/f.u. As for the raw total energy: -55.485 eV for the cell shown. As for the density: 12.47 g cm⁻³.

Cell lengths 4.1388, 4.1388, 8.1542 Å; angles 90.00, 90.00, 90.00 degrees
With the nearest neighbours (Å) after each atom.
Fractional coordinates of all 8 atoms:
Hf: 0.0000 0.0000 0.5000  12 Pd 2.84-2.93
Th: 0.0000 0.0000 0.0000  12 Pd 2.93-2.98
Pd: 0.5000 0.5000 0.0000  4 Th 2.93, 8 Pd 2.98
Pd: 0.5000 0.5000 0.5000  8 Pd 2.84, 4 Hf 2.93
Pd: 0.5000 0.0000 0.2621  2 Hf 2.84, 8 Pd 2.84-2.98, 2 Th 2.98
Pd: 0.5000 0.0000 0.7379  2 Hf 2.84, 8 Pd 2.84-2.98, 2 Th 2.98
Pd: 0.0000 0.5000 0.2621  2 Hf 2.84, 8 Pd 2.84-2.98, 2 Th 2.98
Pd: 0.0000 0.5000 0.7379  2 Hf 2.84, 8 Pd 2.84-2.98, 2 Th 2.98